1.
A geometry-optimized CaSn4Te5 structure. Source: Alexandria via LeMat-Bulk, functional PBE.

Unit cell a=4.5301 b=6.3998 c=12.0201 alpha=105.44 beta=100.86 gamma=90.00
Last column: nearest neighbours and their distance in Å.
Element x y z (fractional)
Ca: 0.0000 0.0000 0.0000  6 Te 3.20-3.21
Sn: 0.7988 0.7988 0.5977  6 Te 3.19-3.23
Sn: 0.4002 0.4002 0.8004  6 Te 3.20-3.21
Sn: 0.5998 0.5998 0.1996  6 Te 3.20-3.21
Sn: 0.2012 0.2012 0.4023  6 Te 3.19-3.23
Te: 0.0000 0.5000 0.0000  2 Ca 3.20, 4 Sn 3.21
Te: 0.8003 0.3003 0.6005  6 Sn 3.19-3.21
Te: 0.4001 0.9001 0.8002  4 Sn 3.20-3.23, 2 Ca 3.21
Te: 0.1997 0.6997 0.3995  6 Sn 3.19-3.21
Te: 0.5999 0.0999 0.1998  4 Sn 3.20-3.23, 2 Ca 3.21

Final energy   -0.2881 Ry per atom
Uncorrected formation energy   -0.547 eV per atom
Magnetic moment   0.000 μB/cell

---

2.
A geometry-optimized CaSnTe structure. Source: Alexandria via LeMat-Bulk, functional PBE.

Unit cell a=5.3110 b=5.3110 c=9.0044 alpha=72.85 beta=72.85 gamma=60.00
Last column: nearest neighbours and their distance in Å.
Element x y z (fractional)
Ca: 0.4145 0.4145 0.7566  4 Te 3.14-3.45
Ca: 0.5855 0.5855 0.2434  4 Te 3.14-3.45
Sn: 0.8387 0.8387 0.4838  1 Te 2.98, 3 Sn 3.08
Sn: 0.1613 0.1613 0.5162  1 Te 2.98, 3 Sn 3.08
Te: 0.7215 0.7215 0.8355  1 Sn 2.98, 3 Ca 3.14
Te: 0.2785 0.2785 0.1645  1 Sn 2.98, 3 Ca 3.14

Final energy   -0.2838 Ry per atom
Uncorrected formation energy   -0.813 eV per atom
Magnetic moment   0.000 μB/cell

---

3.
A geometry-optimized CaSn2Te structure. Source: Alexandria via LeMat-Bulk, functional PBE.

Unit cell a=9.0118 b=9.0118 c=7.0869 alpha=50.52 beta=50.52 gamma=90.00
Last column: nearest neighbours and their distance in Å.
Element x y z (fractional)
Te: 0.0000 0.0000 0.0000  2 Ca 3.10, 4 Sn 3.17
Te: 0.7500 0.2500 0.5000  2 Ca 3.10, 4 Sn 3.17
Ca: 0.2500 0.7500 0.5000  2 Te 3.10, 4 Sn 3.40
Ca: 0.5000 0.5000 0.0000  2 Te 3.10, 4 Sn 3.40
Sn: 0.6438 0.1250 0.2500  2 Sn 3.12, 2 Te 3.17, 2 Ca 3.40
Sn: 0.8750 0.8938 0.7500  2 Sn 3.12, 2 Te 3.17, 2 Ca 3.40
Sn: 0.1062 0.6250 0.2500  2 Sn 3.12, 2 Te 3.17, 2 Ca 3.40
Sn: 0.3750 0.3562 0.7500  2 Sn 3.12, 2 Te 3.17, 2 Ca 3.40

Final energy   -0.2639 Ry per atom
Uncorrected formation energy   -0.303 eV per atom
Magnetic moment   0.000 μB/cell

---

4.
A geometry-optimized CaSn2Te2 structure. Source: Alexandria via LeMat-Bulk, functional PBE.

Unit cell a=6.1171 b=6.1171 c=6.2795 alpha=60.85 beta=60.85 gamma=90.00
Last column: nearest neighbours and their distance in Å.
Element x y z (fractional)
Sn: 0.6616 0.6616 0.6769  1 Sn 2.94, 1 Ca 3.08, 4 Te 3.16
Sn: 0.3384 0.3384 0.3231  1 Sn 2.94, 1 Ca 3.08, 4 Te 3.16
Te: 0.7500 0.2500 0.5000  4 Sn 3.16
Te: 0.2500 0.7500 0.5000  4 Sn 3.16
Ca: 0.0000 0.0000 0.0000  2 Sn 3.08

Final energy   -0.2702 Ry per atom
Uncorrected formation energy   -0.418 eV per atom
Offset from the most stable computed form   1.549 kcal/mol of atoms
Magnetic moment   0.000 μB/cell

---

5.
A geometry-optimized CaSn2Te2 structure. Source: Alexandria via LeMat-Bulk, functional PBE.

Unit cell a=4.2288 b=4.2288 c=9.3526 alpha=76.93 beta=76.93 gamma=90.00
Last column: nearest neighbours and their distance in Å.
Element x y z (fractional)
Te: 0.5920 0.5920 0.8161  1 Te 3.26, 4 Ca 3.41, 4 Sn 3.51
Te: 0.4080 0.4080 0.1839  1 Te 3.26, 4 Ca 3.41, 4 Sn 3.51
Ca: 0.0000 0.0000 0.0000  8 Te 3.41
Sn: 0.2500 0.7500 0.5000  4 Sn 2.99
Sn: 0.7500 0.2500 0.5000  4 Sn 2.99

Final energy   -0.2752 Ry per atom
Uncorrected formation energy   -0.485 eV per atom
Offset from the most stable computed form   0.000 kcal/mol of atoms
Magnetic moment   0.000 μB/cell

---

6.
A geometry-optimized CaTlSn2Te4 structure. Source: Alexandria via LeMat-Bulk, functional PBE.

Unit cell a=4.4890 b=7.9927 c=7.8944 alpha=70.80 beta=90.00 gamma=90.00
Last column: nearest neighbours and their distance in Å.
Element x y z (fractional)
Te: 0.0000 0.7646 0.7341  3 Sn 3.12-3.25, 1 Ca 3.23, 2 Tl 3.32
Te: 0.0000 0.2354 0.2659  3 Sn 3.12-3.25, 1 Ca 3.23, 2 Tl 3.32
Te: 0.5000 0.7577 0.2608  3 Sn 3.12-3.23, 2 Ca 3.21, 1 Tl 3.36
Te: 0.5000 0.2423 0.7392  3 Sn 3.12-3.23, 2 Ca 3.21, 1 Tl 3.36
Tl: 0.5000 0.5000 0.0000  6 Te 3.32-3.36
Ca: 0.0000 0.5000 0.5000  6 Te 3.21-3.23
Sn: 0.0000 0.0000 0.0000  6 Te 3.23-3.25
Sn: 0.5000 0.0000 0.5000  6 Te 3.12

Final energy   -0.2715 Ry per atom
Uncorrected formation energy   -0.577 eV per atom
Magnetic moment   0.000 μB/cell

---

7.
A geometry-optimized CaTl2SnTe4 structure. Source: Alexandria via LeMat-Bulk, functional PBE.

Unit cell a=9.1496 b=9.1496 c=9.2285 alpha=120.30 beta=120.30 gamma=89.73
Last column: nearest neighbours and their distance in Å.
Element x y z (fractional)
Sn: 0.0000 0.0000 0.0000  6 Te 3.08-3.12
Sn: 0.5000 0.5000 0.5000  6 Te 3.08-3.12
Tl: 0.0000 0.0000 0.5000  6 Te 3.37-3.38
Tl: 0.5000 0.0000 0.5000  6 Te 3.30-3.32
Tl: 0.5000 0.5000 0.0000  6 Te 3.37-3.38
Tl: 0.5000 0.0000 0.0000  6 Te 3.30-3.32
Te: 0.7733 0.2506 0.0119  1 Sn 3.08, 2 Ca 3.17, 3 Tl 3.32-3.38
Te: 0.7554 0.7446 0.9811  2 Sn 3.12, 1 Ca 3.16, 3 Tl 3.30-3.37
Te: 0.7506 0.2733 0.5119  1 Sn 3.08, 2 Ca 3.17, 3 Tl 3.32-3.38
Te: 0.7554 0.7446 0.5189  2 Sn 3.12, 1 Ca 3.16, 3 Tl 3.30-3.37
Te: 0.2446 0.2554 0.0189  2 Sn 3.12, 1 Ca 3.16, 3 Tl 3.30-3.37
Te: 0.2446 0.2554 0.4811  2 Sn 3.12, 1 Ca 3.16, 3 Tl 3.30-3.37
Te: 0.2267 0.7494 0.9881  1 Sn 3.08, 2 Ca 3.17, 3 Tl 3.32-3.38
Te: 0.2494 0.7267 0.4881  1 Sn 3.08, 2 Ca 3.17, 3 Tl 3.32-3.38
Ca: 0.0000 0.5000 0.5000  6 Te 3.16-3.17
Ca: 0.0000 0.5000 0.0000  6 Te 3.16-3.17

Final energy   -0.2539 Ry per atom
Uncorrected formation energy   -0.542 eV per atom
Magnetic moment   0.000 μB/cell

---

8.
A geometry-optimized CaZrSn2Te structure. Source: Alexandria via LeMat-Bulk, functional PBE.

Unit cell a=5.8856 b=5.3307 c=5.8856 alpha=90.00 beta=90.00 gamma=90.00
Last column: nearest neighbours and their distance in Å.
Element x y z (fractional)
Te: 0.0000 0.0000 0.0000  2 Zr 2.67, 4 Sn 2.94
Sn: 0.0000 0.0000 0.5000  2 Te 2.94
Sn: 0.5000 0.0000 0.0000  2 Te 2.94
Zr: 0.0000 0.5000 0.0000  2 Te 2.67
Ca: 0.5000 0.5000 0.5000  8 Sn 3.97, 4 Zr 4.16

Final energy   -0.2912 Ry per atom
Uncorrected formation energy   0.378 eV per atom
Magnetic moment   1.188 μB/cell

---

9.
A geometry-optimized CaThSn structure. Source: Alexandria via LeMat-Bulk, functional PBE.

Unit cell a=5.1148 b=5.1148 c=9.1949 alpha=73.85 beta=73.85 gamma=60.00
Last column: nearest neighbours and their distance in Å.
Element x y z (fractional)
Sn: 0.5756 0.5756 0.2731  3 Ca 3.15, 4 Th 3.24-3.43
Sn: 0.4244 0.4244 0.7269  3 Ca 3.15, 4 Th 3.24-3.43
Th: 0.2931 0.2931 0.1208  4 Sn 3.24-3.43, 3 Th 3.63
Th: 0.7069 0.7069 0.8792  4 Sn 3.24-3.43, 3 Th 3.63
Ca: 0.8668 0.8668 0.3997  3 Sn 3.15, 3 Ca 3.43
Ca: 0.1332 0.1332 0.6003  3 Sn 3.15, 3 Ca 3.43

Final energy   -0.3435 Ry per atom
Formation energy from the elements   -0.59 eV per formula unit
Magnetic moment   0.000 μB/cell

---

10.
A geometry-optimized CaThSn2 structure. Source: Alexandria via LeMat-Bulk, functional PBE.

Unit cell a=4.3680 b=5.1232 c=5.1232 alpha=90.00 beta=90.00 gamma=90.00
Last column: nearest neighbours and their distance in Å.
Element x y z (fractional)
Th: 0.5000 0.5000 0.5000  8 Sn 3.37, 4 Ca 3.62
Sn: 0.0000 0.0000 0.5000  4 Th 3.37, 4 Ca 3.37, 4 Sn 3.62
Sn: 0.0000 0.5000 0.0000  4 Th 3.37, 4 Ca 3.37, 4 Sn 3.62
Ca: 0.5000 0.0000 0.0000  8 Sn 3.37, 4 Th 3.62

Final energy   -0.3578 Ry per atom
Formation energy from the elements   -2.04 eV per formula unit
Magnetic moment   0.000 μB/cell

---

11.
A geometry-optimized CaTh4Sn4 structure. Source: Alexandria via LeMat-Bulk, functional PBE.

Unit cell a=6.3217 b=10.0161 c=10.0161 alpha=90.00 beta=90.00 gamma=90.00
Last column: nearest neighbours and their distance in Å.
Element x y z (fractional)
Th: 0.6151 0.9025 0.6593  5 Sn 3.17-3.29
Th: 0.6151 0.0975 0.3407  5 Sn 3.17-3.29
Th: 0.8849 0.5975 0.8407  5 Sn 3.17-3.29
Th: 0.8849 0.4025 0.1593  5 Sn 3.17-3.29
Th: 0.1151 0.8407 0.4025  5 Sn 3.17-3.29
Th: 0.3849 0.3407 0.9025  5 Sn 3.17-3.29
Th: 0.1151 0.1593 0.5975  5 Sn 3.17-3.29
Th: 0.3849 0.6593 0.0975  5 Sn 3.17-3.29
Sn: 0.1078 0.1300 0.2747  1 Sn 3.04, 1 Ca 3.12, 5 Th 3.17-3.29
Sn: 0.6078 0.2253 0.6300  1 Sn 3.04, 1 Ca 3.12, 5 Th 3.17-3.29
Sn: 0.3922 0.3700 0.2253  1 Sn 3.04, 1 Ca 3.12, 5 Th 3.17-3.29
Sn: 0.8922 0.7253 0.1300  1 Sn 3.04, 1 Ca 3.12, 5 Th 3.17-3.29
Sn: 0.1078 0.8700 0.7253  1 Sn 3.04, 1 Ca 3.12, 5 Th 3.17-3.29
Sn: 0.8922 0.2747 0.8700  1 Sn 3.04, 1 Ca 3.12, 5 Th 3.17-3.29
Sn: 0.6078 0.7747 0.3700  1 Sn 3.04, 1 Ca 3.12, 5 Th 3.17-3.29
Sn: 0.3922 0.6300 0.7747  1 Sn 3.04, 1 Ca 3.12, 5 Th 3.17-3.29
Ca: 0.0000 0.0000 0.0000  4 Sn 3.12
Ca: 0.5000 0.5000 0.5000  4 Sn 3.12

Final energy   -0.4076 Ry per atom
Formation energy from the elements   -2.22 eV per formula unit
Magnetic moment   0.000 μB/cell

---

12.
A geometry-optimized Ca3ThSn12 structure. Source: Alexandria via LeMat-Bulk, functional PBE.

Unit cell a=4.7406 b=4.7406 c=19.1874 alpha=90.00 beta=90.00 gamma=90.00
Last column: nearest neighbours and their distance in Å.
Element x y z (fractional)
Sn: 0.0000 0.5000 0.6246  8 Sn 3.35-3.37, 4 Ca 3.37-3.40
Sn: 0.0000 0.5000 0.3754  8 Sn 3.35-3.37, 4 Ca 3.37-3.40
Sn: 0.5000 0.0000 0.1265  2 Ca 3.33, 8 Sn 3.35-3.39, 2 Th 3.39
Sn: 0.5000 0.0000 0.6246  8 Sn 3.35-3.37, 4 Ca 3.37-3.40
Sn: 0.5000 0.5000 0.0000  4 Th 3.35, 8 Sn 3.39
Sn: 0.0000 0.5000 0.1265  2 Ca 3.33, 8 Sn 3.35-3.39, 2 Th 3.39
Sn: 0.5000 0.0000 0.8735  2 Ca 3.33, 8 Sn 3.35-3.39, 2 Th 3.39
Sn: 0.0000 0.5000 0.8735  2 Ca 3.33, 8 Sn 3.35-3.39, 2 Th 3.39
Sn: 0.5000 0.5000 0.2514  4 Ca 3.35, 8 Sn 3.36-3.37
Sn: 0.5000 0.0000 0.3754  8 Sn 3.35-3.37, 4 Ca 3.37-3.40
Sn: 0.5000 0.5000 0.5000  4 Ca 3.35, 8 Sn 3.37
Sn: 0.5000 0.5000 0.7486  4 Ca 3.35, 8 Sn 3.36-3.37
Ca: 0.0000 0.0000 0.5000  12 Sn 3.35-3.37
Ca: 0.0000 0.0000 0.7513  12 Sn 3.33-3.40
Ca: 0.0000 0.0000 0.2487  12 Sn 3.33-3.40
Th: 0.0000 0.0000 0.0000  12 Sn 3.35-3.39

Final energy   -0.3116 Ry per atom
Formation energy from the elements   -6.37 eV per formula unit
Magnetic moment   0.000 μB/cell